No. 1
A plane-wave DFT calculation with PBE was carried out for In12Si3Se5 after structural relaxation.

Properties
E = -3.298 eV per atom
ΔE_f (raw) = 0.030 eV/atom

a = 16.8267 Å, b = 16.8267 Å, c = 16.8267 Å
α = 90.00°, β = 90.00°, γ = 90.00°
Space group Ia-3d (No. 230)
Asymmetric unit:
In 0.0184 0.0819 0.6530 (multiplicity 96)
Si 0.0000 0.2500 0.1250 (multiplicity 24)
Se 0.0000 0.0000 0.0000 (multiplicity 16)
Se 0.0000 0.2500 0.3750 (multiplicity 24)

No. 2
A plane-wave DFT calculation with PBE was carried out for CeCoH after structural relaxation.

Properties
E = -5.553 eV per atom
Polymorph energy (0 for the lowest one) = 0.2539 eV/atom

a = 3.7423 Å, b = 3.7423 Å, c = 3.3952 Å
α = 90.00°, β = 90.00°, γ = 120.00°
Space group P-6m2 (No. 187)
Asymmetric unit:
Ce 0.0000 0.0000 0.0000 (multiplicity 1)
Co 0.3333 0.6667 0.5000 (multiplicity 1)
H 0.6667 0.3333 0.5000 (multiplicity 1)

No. 3
A plane-wave DFT calculation with PBE was carried out for Co2CuCl after structural relaxation.

Properties
E = -4.716 eV per atom
ΔE_f (raw) = 0.323 eV/atom
Polymorph energy (0 for the lowest one) = 0.1150 eV/atom

a = 2.9299 Å, b = 2.9299 Å, c = 6.3882 Å
α = 90.00°, β = 90.00°, γ = 90.00°
Space group P4mm (No. 99)
Asymmetric unit:
Co 0.0000 0.0000 0.0000 (multiplicity 1)
Co 0.5000 0.5000 0.1920 (multiplicity 1)
Cu 0.0000 0.0000 0.4246 (multiplicity 1)
Cl 0.5000 0.5000 0.7222 (multiplicity 1)

No. 4
A plane-wave DFT calculation with PBE was carried out for SiNiTe2 after structural relaxation.

Properties
E = -4.271 eV per atom
ΔE_f (raw) = 0.101 eV/atom

a = 11.2687 Å, b = 3.9242 Å, c = 4.5940 Å
α = 90.00°, β = 99.42°, γ = 90.00°
Space group Cm (No. 8)
Asymmetric unit:
Si 0.0000 0.0000 0.0000 (multiplicity 2)
Ni 0.3947 0.0000 0.0136 (multiplicity 2)
Te 0.0142 0.5000 0.5630 (multiplicity 2)
Te 0.2566 0.5000 0.0765 (multiplicity 2)

No. 5
A plane-wave DFT calculation with PBE was carried out for SmDyZr after structural relaxation.

Properties
E = -5.459 eV per atom
Energy of formation = 0.497 eV/atom
Polymorph energy (0 for the lowest one) = 0.4033 eV/atom

a = 4.2665 Å, b = 4.2665 Å, c = 9.9311 Å
α = 90.00°, β = 90.00°, γ = 90.00°
Space group P4/nmm (No. 129, origin choice 2)
Asymmetric unit:
Sm 0.2500 0.7500 0.0000 (multiplicity 2)
Dy 0.2500 0.2500 0.2732 (multiplicity 2)
Zr 0.2500 0.2500 0.5736 (multiplicity 2)

No. 6
A plane-wave DFT calculation with PBE was carried out for BaReAu2 after structural relaxation.

Properties
E = -4.477 eV per atom
Energy of formation = 0.754 eV/atom
Polymorph energy (0 for the lowest one) = 0.5224 eV/atom

a = 5.4662 Å, b = 2.9138 Å, c = 6.0578 Å
α = 90.00°, β = 113.94°, γ = 90.00°
Space group P2/m (No. 10)
Asymmetric unit:
Ba 0.0000 0.0000 0.0000 (multiplicity 1)
Re 0.5000 0.5000 0.5000 (multiplicity 1)
Au 0.0000 0.0000 0.5000 (multiplicity 1)
Au 0.5000 0.5000 0.0000 (multiplicity 1)

No. 7
A plane-wave DFT calculation with PBE was carried out for K4Cu3Cl10 after structural relaxation.

Properties
E = -3.253 eV per atom
ΔE_f (raw) = -1.185 eV/atom

a = 4.8509 Å, b = 4.8509 Å, c = 35.0204 Å
α = 90.00°, β = 90.00°, γ = 90.00°
Space group I4/mmm (No. 139)
Asymmetric unit:
K 0.0000 0.0000 0.0681 (multiplicity 4)
K 0.0000 0.0000 0.2003 (multiplicity 4)
Cu 0.0000 0.0000 0.3604 (multiplicity 4)
Cu 0.0000 0.0000 0.5000 (multiplicity 2)
Cl 0.0000 0.0000 0.2911 (multiplicity 4)
Cl 0.0000 0.0000 0.4314 (multiplicity 4)
Cl 0.0000 0.5000 0.0000 (multiplicity 4)
Cl 0.0000 0.5000 0.1370 (multiplicity 8)

No. 8
A plane-wave DFT calculation with PBE was carried out for Zr4TlCu after structural relaxation.

Properties
E = -6.353 eV per atom
Energy of formation = 0.423 eV/atom
Polymorph energy (0 for the lowest one) = 0.4340 eV/atom

a = 8.1295 Å, b = 8.1295 Å, c = 8.1295 Å
α = 90.00°, β = 90.00°, γ = 90.00°
Space group F-43m (No. 216)
Asymmetric unit:
Zr 0.1249 0.1249 0.1249 (multiplicity 16)
Tl 0.0000 0.0000 0.5000 (multiplicity 4)
Cu 0.2500 0.2500 0.7500 (multiplicity 4)

In the order shown, the computed magnetic moment values come out to 0.0, 0.0, 3.7, 0.0, 0.0, 0.0, 0.0, 0.0 μB per cell.